Record 1
# Sc2TaPb PBE relaxed
# ΔH_f (0 K)   -0.046 eV per atom
# DOS at the Fermi energy   5.07 states/eV/f.u.
# M_tot   0.00 μB/f.u.
# Crystal system   tetragonal
data_Sc2TaPb
_chemical_formula_sum 'Sc2 Ta1 Pb1'
_space_group_name_H-M_alt 'P 4/m m m'
_space_group_IT_number 123
_space_group_name_Hall '-P 4 2'
_cell_length_a 3.1286
_cell_length_b 3.1286
_cell_length_c 9.1877
_cell_angle_alpha 90.00
_cell_angle_beta 90.00
_cell_angle_gamma 90.00
loop_
_atom_site_label
_atom_site_type_symbol
_atom_site_fract_x
_atom_site_fract_y
_atom_site_fract_z
Sc1 Sc 0.0000 0.0000 0.2312
Ta1 Ta 0.5000 0.5000 0.0000
Pb1 Pb 0.5000 0.5000 0.5000

Record 2
# La2HgGe3Rh4 PBE relaxed
# ΔH_f (0 K)   -0.746 eV per atom
# DOS at the Fermi energy   6.81 states/eV/f.u.
# M_tot   0.00 μB/f.u.
# Crystal system   tetragonal
data_La2HgGe3Rh4
_chemical_formula_sum 'La2 Hg1 Ge3 Rh4'
_space_group_name_H-M_alt 'P -4 m 2'
_space_group_IT_number 115
_space_group_name_Hall 'P -4 -2'
_cell_length_a 4.2651
_cell_length_b 4.2651
_cell_length_c 10.8347
_cell_angle_alpha 90.00
_cell_angle_beta 90.00
_cell_angle_gamma 90.00
loop_
_atom_site_label
_atom_site_type_symbol
_atom_site_fract_x
_atom_site_fract_y
_atom_site_fract_z
La1 La 0.0000 0.5000 0.2497
Hg1 Hg 0.0000 0.0000 0.5000
Ge1 Ge 0.0000 0.5000 0.8807
Ge2 Ge 0.5000 0.5000 0.5000
Rh1 Rh 0.0000 0.0000 0.0000
Rh2 Rh 0.0000 0.5000 0.6557
Rh3 Rh 0.5000 0.5000 0.0000

Record 3
# CdHg2Ru PBE relaxed
# ΔH_f (0 K)   0.390 eV per atom
# DOS at the Fermi energy   3.20 states/eV/f.u.
# M_tot   0.00 μB/f.u.
# Crystal system   orthorhombic
data_CdHg2Ru
_chemical_formula_sum 'Cd2 Hg4 Ru2'
_space_group_name_H-M_alt 'C m m m'
_space_group_IT_number 65
_space_group_name_Hall '-C 2 2'
_cell_length_a 5.9322
_cell_length_b 7.7317
_cell_length_c 3.3643
_cell_angle_alpha 90.00
_cell_angle_beta 90.00
_cell_angle_gamma 90.00
loop_
_atom_site_label
_atom_site_type_symbol
_atom_site_fract_x
_atom_site_fract_y
_atom_site_fract_z
Cd1 Cd 0.0000 0.0000 0.0000
Hg1 Hg 0.2500 0.2500 0.5000
Ru1 Ru 0.0000 0.5000 0.0000

Record 4
# KPrNp2O8 PBE relaxed
# DOS at the Fermi energy   10.10 states/eV/f.u.
# M_tot   2.00 μB/f.u.
# Crystal system   tetragonal
# Formation energy (no corrections)   -2.63 eV per atom
data_KPrNp2O8
_chemical_formula_sum 'K2 Pr2 Np4 O16'
_space_group_name_H-M_alt 'I -4'
_space_group_IT_number 82
_space_group_name_Hall 'I -4'
_cell_length_a 5.5881
_cell_length_b 5.5881
_cell_length_c 10.6458
_cell_angle_alpha 90.00
_cell_angle_beta 90.00
_cell_angle_gamma 90.00
loop_
_atom_site_label
_atom_site_type_symbol
_atom_site_fract_x
_atom_site_fract_y
_atom_site_fract_z
K1 K 0.0000 0.0000 0.0000
Pr1 Pr 0.0000 0.5000 0.7500
Np1 Np 0.0000 0.0000 0.5000
Np2 Np 0.0000 0.5000 0.2500
O1 O 0.2097 0.2631 0.3561
O2 O 0.2137 0.2182 0.6114

Record 5
# PmTh2Ni PBE relaxed
# ΔH_f (0 K)   0.135 eV per atom
# DOS at the Fermi energy   7.57 states/eV/f.u.
# M_tot   0.00 μB/f.u.
# Crystal system   trigonal
data_PmTh2Ni
_chemical_formula_sum 'Pm3 Th6 Ni3'
_space_group_name_H-M_alt 'R -3 m'
_space_group_IT_number 166
_space_group_name_Hall '-R 3 2"'
_cell_length_a 3.6627
_cell_length_b 3.6627
_cell_length_c 30.9296
_cell_angle_alpha 90.00
_cell_angle_beta 90.00
_cell_angle_gamma 120.00
loop_
_atom_site_label
_atom_site_type_symbol
_atom_site_fract_x
_atom_site_fract_y
_atom_site_fract_z
Pm1 Pm 0.0000 0.0000 0.0000
Th1 Th 0.0000 0.0000 0.1087
Ni1 Ni 0.0000 0.0000 0.5000

Record 6
# ReAs2SeCl PBE relaxed
# DOS at the Fermi energy   5.11 states/eV/f.u.
# M_tot   0.00 μB/f.u.
# Crystal system   tetragonal
# Formation energy (no corrections)   0.40 eV per atom
data_ReAs2SeCl
_chemical_formula_sum 'Re1 As2 Se1 Cl1'
_space_group_name_H-M_alt 'P 4/m m m'
_space_group_IT_number 123
_space_group_name_Hall '-P 4 2'
_cell_length_a 4.8855
_cell_length_b 4.8855
_cell_length_c 4.8072
_cell_angle_alpha 90.00
_cell_angle_beta 90.00
_cell_angle_gamma 90.00
loop_
_atom_site_label
_atom_site_type_symbol
_atom_site_fract_x
_atom_site_fract_y
_atom_site_fract_z
Re1 Re 0.0000 0.0000 0.0000
As1 As 0.0000 0.5000 0.0000
Se1 Se 0.0000 0.0000 0.5000
Cl1 Cl 0.5000 0.5000 0.5000

Record 7
# ReOs3 PBE relaxed
# ΔH_f (0 K)   0.100 eV per atom
# DOS at the Fermi energy   4.09 states/eV/f.u.
# M_tot   0.00 μB/f.u.
# Crystal system   tetragonal
data_ReOs3
_chemical_formula_sum 'Re1 Os3'
_space_group_name_H-M_alt 'P 4/m m m'
_space_group_IT_number 123
_space_group_name_Hall '-P 4 2'
_cell_length_a 2.7368
_cell_length_b 2.7368
_cell_length_c 7.7449
_cell_angle_alpha 90.00
_cell_angle_beta 90.00
_cell_angle_gamma 90.00
loop_
_atom_site_label
_atom_site_type_symbol
_atom_site_fract_x
_atom_site_fract_y
_atom_site_fract_z
Re1 Re 0.0000 0.0000 0.0000
Os1 Os 0.0000 0.0000 0.5000
Os2 Os 0.5000 0.5000 0.2515

Record 8
# RbLa2Pb2 PBE relaxed
# ΔH_f (0 K)   -0.398 eV per atom
# DOS at the Fermi energy   3.99 states/eV/f.u.
# M_tot   0.60 μB/f.u.
# Crystal system   tetragonal
data_RbLa2Pb2
_chemical_formula_sum 'Rb2 La4 Pb4'
_space_group_name_H-M_alt 'P 4/m b m'
_space_group_IT_number 127
_space_group_name_Hall '-P 4 2ab'
_cell_length_a 9.8859
_cell_length_b 9.8859
_cell_length_c 3.6775
_cell_angle_alpha 90.00
_cell_angle_beta 90.00
_cell_angle_gamma 90.00
loop_
_atom_site_label
_atom_site_type_symbol
_atom_site_fract_x
_atom_site_fract_y
_atom_site_fract_z
Rb1 Rb 0.0000 0.0000 0.0000
La1 La 0.1281 0.3719 0.0000
Pb1 Pb 0.1680 0.6680 0.5000

Record 9
# TcIr2Rh PBE relaxed
# ΔH_f (0 K)   -0.086 eV per atom
# DOS at the Fermi energy   4.17 states/eV/f.u.
# M_tot   0.00 μB/f.u.
# Crystal system   monoclinic
data_TcIr2Rh
_chemical_formula_sum 'Tc2 Ir4 Rh2'
_space_group_name_H-M_alt 'C 1 m 1'
_space_group_IT_number 8
_space_group_name_Hall 'C -2y'
_cell_length_a 9.0859
_cell_length_b 2.7228
_cell_length_c 4.7297
_cell_angle_alpha 90.00
_cell_angle_beta 99.95
_cell_angle_gamma 90.00
loop_
_atom_site_label
_atom_site_type_symbol
_atom_site_fract_x
_atom_site_fract_y
_atom_site_fract_z
Tc1 Tc 0.0000 0.0000 0.0000
Ir1 Ir 0.0038 0.5000 0.5036
Ir2 Ir 0.2519 0.0000 0.7545
Rh1 Rh 0.2509 0.5000 0.2507

Record 10
# Li5PmIn7 PBE relaxed
# ΔH_f (0 K)   -0.305 eV per atom
# DOS at the Fermi energy   4.83 states/eV/f.u.
# M_tot   0.00 μB/f.u.
# Crystal system   orthorhombic
data_Li5PmIn7
_chemical_formula_sum 'Li10 Pm2 In14'
_space_group_name_H-M_alt 'I m m 2'
_space_group_IT_number 44
_space_group_name_Hall 'I 2 -2'
_cell_length_a 5.8666
_cell_length_b 9.6901
_cell_length_c 9.7516
_cell_angle_alpha 90.00
_cell_angle_beta 90.00
_cell_angle_gamma 90.00
loop_
_atom_site_label
_atom_site_type_symbol
_atom_site_fract_x
_atom_site_fract_y
_atom_site_fract_z
Li1 Li 0.0000 0.0000 0.0000
Li2 Li 0.2454 0.2504 0.4780
Pm1 Pm 0.0000 0.5000 0.7341
In1 In 0.0000 0.0000 0.4547
In2 In 0.0000 0.1593 0.7383
In3 In 0.0000 0.2019 0.2180
In4 In 0.0000 0.5000 0.0735
In5 In 0.0000 0.5000 0.3874

Record 11
# La4Ho3Te8 PBE relaxed
# DOS at the Fermi energy   9.30 states/eV/f.u.
# M_tot   0.00 μB/f.u.
# Crystal system   trigonal
# Formation energy (no corrections)   -1.28 eV per atom
data_La4Ho3Te8
_chemical_formula_sum 'La12 Ho9 Te24'
_space_group_name_H-M_alt 'R -3 m'
_space_group_IT_number 166
_space_group_name_Hall '-R 3 2"'
_cell_length_a 8.7561
_cell_length_b 8.7561
_cell_length_c 24.9793
_cell_angle_alpha 90.00
_cell_angle_beta 90.00
_cell_angle_gamma 120.00
loop_
_atom_site_label
_atom_site_type_symbol
_atom_site_fract_x
_atom_site_fract_y
_atom_site_fract_z
La1 La 0.0000 0.0000 0.0000
La2 La 0.0000 0.0000 0.1444
La3 La 0.0000 0.0000 0.5000
Ho1 Ho 0.0000 0.5000 0.0000
Te1 Te 0.0000 0.0000 0.2685
Te2 Te 0.0137 0.5069 0.2562

Record 12
# HfMg2SbCl PBE relaxed
# DOS at the Fermi energy   6.60 states/eV/f.u.
# M_tot   2.12 μB/f.u.
# Crystal system   tetragonal
# Formation energy (no corrections)   0.79 eV per atom
data_HfMg2SbCl
_chemical_formula_sum 'Hf1 Mg2 Sb1 Cl1'
_space_group_name_H-M_alt 'P 4/m m m'
_space_group_IT_number 123
_space_group_name_Hall '-P 4 2'
_cell_length_a 5.4608
_cell_length_b 5.4608
_cell_length_c 5.2964
_cell_angle_alpha 90.00
_cell_angle_beta 90.00
_cell_angle_gamma 90.00
loop_
_atom_site_label
_atom_site_type_symbol
_atom_site_fract_x
_atom_site_fract_y
_atom_site_fract_z
Hf1 Hf 0.0000 0.0000 0.0000
Mg1 Mg 0.0000 0.5000 0.5000
Sb1 Sb 0.5000 0.5000 0.5000
Cl1 Cl 0.5000 0.5000 0.0000

Number 1: calculated total energy -28.4 eV/cell. Number 2: calculated total energy -60.9 eV/cell. Number 3: calculated total energy -18.5 eV/cell. Number 4: calculated total energy -206.1 eV/cell. Number 5: calculated total energy -74.5 eV/cell. Number 6: calculated total energy -25.1 eV/cell. Number 7: calculated total energy -45.7 eV/cell. Number 8: calculated total energy -40.5 eV/cell. Number 9: calculated total energy -71.6 eV/cell. Number 10: calculated total energy -74.9 eV/cell. Number 11: calculated total energy -233.1 eV/cell. Number 12: calculated total energy -15.2 eV/cell.